Li3MgBi3: relaxed, PBE.

extended XYZ file:
```
14
Lattice="4.2591 -7.1235 0.0000 4.2591 7.1235 0.0000 -3.6403 0.0000 6.2288" Properties=species:S:1:pos:R:3 pbc="T T T"
Li 4.2591 5.4021 0.0000
Li 2.4389 2.3440 3.1144
Li 3.1729 0.0000 1.1264
Li 1.7050 0.0000 5.1024
Li 2.4389 -2.3440 3.1144
Li 4.2591 -5.4021 0.0000
Mg -1.4605 0.0000 4.5818
Mg 6.3384 0.0000 1.6470
Bi -0.5731 2.7083 5.2527
Bi 0.5980 0.0000 2.4142
Bi -0.5731 -2.7083 5.2527
Bi 5.4509 2.7083 0.9761
Bi 4.2799 0.0000 3.8146
Bi 5.4509 -2.7083 0.9761
```

Calculated values
**V**: 27.00 A^3/atom
**Relative energy among the computed polymorphs**: 34 meV per atom
**Magnetic moment**: 0.000 μB/f.u.
**DOS(E_F)**: 1.1 states/eV/cell
**Energy of formation**: -0.251 eV/atom
**Space-group type**: No. 12

YHoHgPt: relaxed, PBE.

extended XYZ file:
```
4
Lattice="0.0000 3.5972 3.5972 3.5972 0.0000 3.5972 3.5972 3.5972 0.0000" Properties=species:S:1:pos:R:3 pbc="T T T"
Y 0.0000 0.0000 0.0000
Ho 3.5972 3.5972 3.5972
Hg 5.3958 5.3958 5.3958
Pt 1.7986 1.7986 1.7986
```

Calculated values
**V**: 23.27 A^3/atom
**Relative energy among the computed polymorphs**: 45 meV per atom
**Magnetic moment**: 0.000 μB/f.u.
**DOS(E_F)**: 2.4 states/eV/cell
**Energy of formation**: -0.825 eV/atom
**Space-group type**: No. 216

In2SnTeF: relaxed, PBE.

extended XYZ file:
```
5
Lattice="5.7008 0.0000 0.0000 0.0000 5.7008 0.0000 0.0000 0.0000 4.3824" Properties=species:S:1:pos:R:3 pbc="T T T"
In 0.0000 2.8504 0.0000
In 2.8504 0.0000 0.0000
Sn 0.0000 0.0000 0.0000
Te 2.8504 2.8504 2.1912
F 0.0000 0.0000 2.1912
```

Calculated values
**V**: 28.49 A^3/atom
**Magnetic moment**: 0.000 μB/f.u.
**Uncorrected formation energy**: -58 kJ/mol of atoms
**DOS(E_F)**: 1.1 states/eV/cell
**Space-group type**: No. 123

NbSb2Br2: relaxed, PBE.

extended XYZ file:
```
10
Lattice="8.9958 0.0000 0.0000 0.0000 8.9958 0.0000 0.0000 0.0000 3.2339" Properties=species:S:1:pos:R:3 pbc="T T T"
Nb 0.0000 0.0000 0.0000
Nb 4.4979 4.4979 0.0000
Sb 1.7796 2.7183 1.6169
Sb 2.7183 7.2162 1.6169
Sb 6.2774 1.7796 1.6169
Sb 7.2162 6.2774 1.6169
Br 1.0823 5.5802 0.0000
Br 3.4156 1.0823 0.0000
Br 5.5802 7.9135 0.0000
Br 7.9135 3.4156 0.0000
```

Calculated values
**V**: 26.17 A^3/atom
**Relative energy among the computed polymorphs**: 463 meV per atom
**Magnetic moment**: 1.832 μB/f.u.
**Uncorrected formation energy**: 67 kJ/mol of atoms
**DOS(E_F)**: 9.3 states/eV/cell
**Space-group type**: No. 127

NaPd2RhN: relaxed, PBE.

extended XYZ file:
```
5
Lattice="4.3395 0.0000 0.0000 0.0000 4.3395 0.0000 0.0000 0.0000 3.9072" Properties=species:S:1:pos:R:3 pbc="T T T"
Na 0.0000 0.0000 0.0000
Pd 0.0000 2.1697 1.9536
Pd 2.1697 0.0000 1.9536
Rh 2.1697 2.1697 0.0000
N 2.1697 2.1697 1.9536
```

Calculated values
**V**: 14.72 A^3/atom
**Magnetic moment**: 0.000 μB/f.u.
**Uncorrected formation energy**: 7 kJ/mol of atoms
**DOS(E_F)**: 2.5 states/eV/cell
**Space-group type**: No. 123

Ho2Tm15Sc2: relaxed, PBE.

extended XYZ file:
```
19
Lattice="5.4632 3.1542 5.7560 -5.4632 3.1542 5.7560 0.0000 -6.3083 5.7560" Properties=species:S:1:pos:R:3 pbc="T T T"
Ho 0.0000 0.0000 3.0862
Ho 0.0000 0.0000 14.1817
Tm -2.7316 -1.5771 5.7560
Tm 0.0000 -3.2104 5.2591
Tm -2.7803 1.6052 5.2591
Tm -1.6212 -2.8080 8.6340
Tm -3.2424 0.0000 8.6340
Tm -2.7803 -1.6052 12.0089
Tm -2.7316 1.5771 11.5119
Tm 1.6212 -2.8080 8.6340
Tm 0.0000 3.1542 5.7560
Tm -1.6212 2.8080 8.6340
Tm 2.7803 1.6052 5.2591
Tm 3.2424 0.0000 8.6340
Tm 1.6212 2.8080 8.6340
Tm 2.7803 -1.6052 12.0089
Tm 0.0000 3.2104 12.0089
Sc 0.0000 0.0000 7.0535
Sc 0.0000 0.0000 10.2144
```

Calculated values
**V**: 31.32 A^3/atom
**Magnetic moment**: 0.028 μB/f.u.
**DOS(E_F)**: 34.5 states/eV/cell
**Energy of formation**: 0.298 eV/atom
**Space-group type**: No. 166

Tb4Er9Al11: relaxed, PBE.

extended XYZ file:
```
24
Lattice="7.6346 -11.1679 0.0000 7.6346 11.1679 0.0000 0.0000 0.0000 3.3328" Properties=species:S:1:pos:R:3 pbc="T T T"
Tb 2.7127 1.8398 0.0000
Tb 2.7127 -1.8398 0.0000
Tb 12.5564 1.8398 0.0000
Tb 12.5564 -1.8398 0.0000
Er 0.0000 0.0000 0.0000
Er 5.9271 6.1762 0.0000
Er 6.0050 2.1733 0.0000
Er 9.3421 6.1762 0.0000
Er 6.0050 -2.1733 0.0000
Er 9.2642 2.1733 0.0000
Er 5.9271 -6.1762 0.0000
Er 9.2642 -2.1733 0.0000
Er 9.3421 -6.1762 0.0000
Al 4.2067 4.1793 1.6664
Al 7.6346 8.4699 1.6664
Al 4.6451 0.0000 1.6664
Al 7.6346 4.2202 1.6664
Al 4.2067 -4.1793 1.6664
Al 7.6346 0.0000 1.6664
Al 11.0625 4.1793 1.6664
Al 7.6346 -4.2202 1.6664
Al 10.6241 0.0000 1.6664
Al 7.6346 -8.4699 1.6664
Al 11.0625 -4.1793 1.6664
```

Calculated values
**V**: 23.68 A^3/atom
**Magnetic moment**: 0.000 μB/f.u.
**DOS(E_F)**: 15.1 states/eV/cell
**Energy of formation**: -0.327 eV/atom
**Space-group type**: No. 65

RbP2SI: relaxed, PBE.

extended XYZ file:
```
5
Lattice="5.3943 0.0000 0.0000 0.0000 5.3943 0.0000 0.0000 0.0000 5.3892" Properties=species:S:1:pos:R:3 pbc="T T T"
Rb 0.0000 0.0000 0.0000
P 0.0000 2.6972 2.6946
P 2.6972 0.0000 2.6946
S 2.6972 2.6972 0.0000
I 2.6972 2.6972 2.6946
```

Calculated values
**V**: 31.36 A^3/atom
**Relative energy among the computed polymorphs**: 0 meV per atom
**Magnetic moment**: 2.435 μB/f.u.
**Uncorrected formation energy**: 72 kJ/mol of atoms
**DOS(E_F)**: 3.5 states/eV/cell
**Space-group type**: No. 123

H3S: relaxed, PBE.

extended XYZ file:
```
32
Lattice="6.8477 -8.0175 0.0000 6.8477 8.0175 0.0000 0.0000 0.0000 5.1739" Properties=species:S:1:pos:R:3 pbc="T T T"
H 0.0000 0.0000 0.9192
H 0.0000 0.0000 1.6678
H 0.0000 0.0000 3.5061
H 0.0000 0.0000 4.2547
H 2.5144 2.4014 1.2998
H 2.5144 2.4014 3.8741
H 4.6785 3.8539 0.0000
H 4.2580 2.8186 2.5870
H 2.5144 -2.4014 1.2871
H 2.5144 -2.4014 3.8868
H 9.0169 3.8539 2.5870
H 6.4732 0.0000 1.2935
H 6.4732 0.0000 3.8804
H 4.2580 -2.8186 0.0000
H 9.4374 2.8186 0.0000
H 7.2222 0.0000 1.2935
H 7.2222 0.0000 3.8804
H 4.6785 -3.8539 2.5870
H 11.1811 2.4014 1.2871
H 11.1811 2.4014 3.8868
H 9.4374 -2.8186 2.5870
H 9.0169 -3.8539 0.0000
H 11.1811 -2.4014 1.2998
H 11.1811 -2.4014 3.8741
S 5.2428 5.0793 0.0000
S 3.3801 1.7939 2.5870
S 8.4527 5.0793 2.5870
S 3.3801 -1.7939 0.0000
S 10.3153 1.7939 0.0000
S 5.2428 -5.0793 2.5870
S 10.3153 -1.7939 2.5870
S 8.4527 -5.0793 0.0000
```

Calculated values
**V**: 17.75 A^3/atom
**Total energy**: -3.61 eV per atom
**Magnetic moment**: 0.000 μB/f.u.
**DOS(E_F)**: 0.0 states/eV/cell
**Space-group type**: No. 66

HoGa2Ru2: relaxed, PBE.

extended XYZ file:
```
5
Lattice="2.8921 -2.9328 0.0000 2.8921 2.9328 0.0000 -2.5981 0.0000 5.2916" Properties=species:S:1:pos:R:3 pbc="T T T"
Ho 0.0000 0.0000 0.0000
Ga 0.3715 0.0000 4.0487
Ga 2.8147 0.0000 1.2429
Ru 1.5931 1.6644 2.6458
Ru 1.5931 -1.6644 2.6458
```

Calculated values
**V**: 17.95 A^3/atom
**Magnetic moment**: 0.000 μB/f.u.
**DOS(E_F)**: 5.5 states/eV/cell
**Energy of formation**: -0.395 eV/atom
**Space-group type**: No. 12

ScMnCr: relaxed, PBE.

extended XYZ file:
```
3
Lattice="0.0000 2.9811 2.9811 2.9811 0.0000 2.9811 2.9811 2.9811 0.0000" Properties=species:S:1:pos:R:3 pbc="T T T"
Sc 0.0000 0.0000 0.0000
Mn 4.4717 4.4717 4.4717
Cr 2.9811 2.9811 2.9811
```

Calculated values
**V**: 17.66 A^3/atom
**Relative energy among the computed polymorphs**: 559 meV per atom
**Magnetic moment**: 0.964 μB/f.u.
**DOS(E_F)**: 3.7 states/eV/cell
**Energy of formation**: 0.522 eV/atom
**Space-group type**: No. 216

CoPb2Cl: relaxed, PBE.

extended XYZ file:
```
4
Lattice="1.7310 0.9994 9.4315 -1.7310 0.9994 9.4315 0.0000 -1.9988 9.4315" Properties=species:S:1:pos:R:3 pbc="T T T"
Co 0.0000 0.0000 0.0000
Pb 0.0000 0.0000 14.4046
Pb 0.0000 0.0000 20.8913
Cl 0.0000 0.0000 8.2726
```

Calculated values
**V**: 24.47 A^3/atom
**Relative energy among the computed polymorphs**: 0 meV per atom
**Magnetic moment**: 1.556 μB/f.u.
**Uncorrected formation energy**: -2 kJ/mol of atoms
**DOS(E_F)**: 2.5 states/eV/cell
**Space-group type**: No. 160

CoTeMo2: relaxed, PBE.

extended XYZ file:
```
4
Lattice="3.0904 0.0000 0.0000 0.0000 3.1044 0.0000 0.0000 0.0000 6.6527" Properties=species:S:1:pos:R:3 pbc="T T T"
Co 0.0000 0.0000 0.0000
Te 0.0000 0.0000 3.3264
Mo 1.5452 1.5522 1.5250
Mo 1.5452 1.5522 5.1277
```

Calculated values
**V**: 15.96 A^3/atom
**Magnetic moment**: 1.290 μB/f.u.
**Uncorrected formation energy**: 41 kJ/mol of atoms
**DOS(E_F)**: 3.4 states/eV/cell
**Space-group type**: No. 47

RbTlBr2: relaxed, PBE.

extended XYZ file:
```
4
Lattice="2.5755 1.4869 9.6966 -2.5755 1.4869 9.6966 0.0000 -2.9739 9.6966" Properties=species:S:1:pos:R:3 pbc="T T T"
Rb 0.0000 0.0000 0.0000
Tl 0.0000 0.0000 14.5449
Br 0.0000 0.0000 3.1238
Br 0.0000 0.0000 25.9660
```

Calculated values
**V**: 55.70 A^3/atom
**Relative energy among the computed polymorphs**: 274 meV per atom
**Magnetic moment**: 0.000 μB/f.u.
**Uncorrected formation energy**: -99 kJ/mol of atoms
**DOS(E_F)**: 0.0 states/eV/cell
**Space-group type**: No. 166

BaPrAg2Se4: relaxed, PBE.

extended XYZ file:
```
8
Lattice="-3.7132 3.7132 4.2379 3.7132 -3.7132 4.2379 3.7132 3.7132 -4.2379" Properties=species:S:1:pos:R:3 pbc="T T T"
Ba 0.0000 0.0000 0.0000
Pr 0.0000 0.0000 4.2379
Ag 3.7132 0.0000 2.1190
Ag 0.0000 3.7132 2.1190
Se 1.6351 -1.6351 2.4318
Se 2.0781 2.0781 1.8062
Se -1.6351 1.6351 2.4318
Se 1.6351 1.6351 6.0441
```

Calculated values
**V**: 29.22 A^3/atom
**Magnetic moment**: 0.000 μB/f.u.
**Uncorrected formation energy**: -102 kJ/mol of atoms
**DOS(E_F)**: 2.5 states/eV/cell
**Space-group type**: No. 121

LiZn9Cu2: relaxed, PBE.

extended XYZ file:
```
24
Lattice="-5.2414 5.2414 3.3890 5.2414 -5.2414 3.3890 5.2414 5.2414 -3.3890" Properties=species:S:1:pos:R:3 pbc="T T T"
Li 5.2414 2.6207 0.8472
Li 0.0000 2.6207 2.5417
Zn 5.2414 -2.6207 2.5417
Zn 3.9780 -0.4767 1.2256
Zn 6.5048 -0.4767 1.2256
Zn 2.1440 1.3573 0.4689
Zn 8.3389 1.3573 0.4689
Zn 3.9780 4.7647 -1.2256
Zn 1.2634 -0.4767 2.1634
Zn 2.1440 3.8841 0.4689
Zn 3.0975 -1.3573 3.8578
Zn 2.1440 6.5987 -0.4689
Zn 3.0975 1.3573 2.9201
Zn 3.9780 5.7182 1.2256
Zn 1.2634 0.4767 4.6146
Zn -3.0975 3.8841 2.9201
Zn 3.0975 3.8841 2.9201
Zn -1.2634 5.7182 2.1634
Zn 1.2634 5.7182 2.1634
Zn 0.0000 7.8621 0.8472
Cu 0.0000 0.0000 0.0000
Cu 2.6207 2.6207 -1.6945
Cu 2.6207 -2.6207 1.6945
Cu 0.0000 5.2414 0.0000
```

Calculated values
**V**: 15.52 A^3/atom
**Relative energy among the computed polymorphs**: 0 meV per atom
**Magnetic moment**: 0.000 μB/f.u.
**DOS(E_F)**: 6.0 states/eV/cell
**Energy of formation**: -0.060 eV/atom
**Space-group type**: No. 141

YNb2Ga: relaxed, PBE.

extended XYZ file:
```
8
Lattice="-3.9769 3.9769 2.7369 3.9769 -3.9769 2.7369 3.9769 3.9769 -2.7369" Properties=species:S:1:pos:R:3 pbc="T T T"
Y 0.0000 0.0000 0.0000
Y 0.0000 3.9769 1.3684
Nb 1.9884 -1.6301 2.0526
Nb 2.3468 1.9884 0.6842
Nb 1.9884 5.6070 -0.6842
Nb 1.6301 1.9884 3.4211
Ga 3.9769 0.0000 1.3684
Ga 0.0000 0.0000 2.7369
```

Calculated values
**V**: 21.64 A^3/atom
**Magnetic moment**: 0.000 μB/f.u.
**DOS(E_F)**: 4.7 states/eV/cell
**Energy of formation**: 0.363 eV/atom
**Space-group type**: No. 122

Sr3SmRhO6: relaxed, PBE.

extended XYZ file:
```
22
Lattice="4.9572 2.8620 3.8525 -4.9572 2.8620 3.8525 0.0000 -5.7241 3.8525" Properties=species:S:1:pos:R:3 pbc="T T T"
Sr -3.1275 0.3071 4.8157
Sr -1.8297 -2.5549 6.7419
Sr 1.2978 -2.8621 4.8157
Sr -1.2977 2.8620 6.7419
Sr 1.8297 2.5549 4.8157
Sr 3.1275 -0.3071 6.7419
Sm 0.0000 0.0000 2.8894
Sm 0.0000 0.0000 8.6682
Rh 0.0000 0.0000 0.0000
Rh 0.0000 0.0000 5.7788
O -4.2898 -1.3016 6.4347
O -1.0177 -4.3659 5.1229
O -1.0177 -1.3582 4.5084
O -3.2721 3.0643 5.1229
O -0.6674 1.5604 4.5084
O -1.6851 0.2022 7.0492
O 1.6851 -0.2022 4.5084
O 0.6674 -1.5604 7.0492
O 3.2721 -3.0643 6.4347
O 1.0177 1.3582 7.0492
O 1.0177 4.3659 6.4347
O 4.2898 1.3016 5.1229
```

Calculated values
**V**: 14.91 A^3/atom
**Magnetic moment**: 0.000 μB/f.u.
**Uncorrected formation energy**: -241 kJ/mol of atoms
**DOS(E_F)**: 0.0 states/eV/cell
**Space-group type**: No. 167

NiMo2HOs: relaxed, PBE.

extended XYZ file:
```
5
Lattice="3.9285 0.0000 0.0000 0.0000 3.9285 0.0000 0.0000 0.0000 3.8185" Properties=species:S:1:pos:R:3 pbc="T T T"
Ni 0.0000 0.0000 0.0000
Mo 0.0000 1.9642 1.9092
Mo 1.9642 0.0000 1.9092
H 0.0000 0.0000 1.9092
Os 1.9642 1.9642 0.0000
```

Calculated values
**V**: 11.79 A^3/atom
**Relative energy among the computed polymorphs**: 0 meV per atom
**Magnetic moment**: 0.000 μB/f.u.
**DOS(E_F)**: 2.2 states/eV/cell
**Space-group type**: No. 123

TaTc2Se: relaxed, PBE.

extended XYZ file:
```
4
Lattice="-1.5483 2.2312 4.5069 1.5483 -2.2312 4.5069 1.5483 2.2312 -4.5069" Properties=species:S:1:pos:R:3 pbc="T T T"
Ta 0.0000 0.0000 0.0000
Tc 1.5483 0.0000 2.4691
Tc 0.0000 0.0000 4.7950
Se 0.0000 2.2312 2.3388
```

Calculated values
**V**: 15.57 A^3/atom
**Magnetic moment**: 0.000 μB/f.u.
**Uncorrected formation energy**: 5 kJ/mol of atoms
**DOS(E_F)**: 3.3 states/eV/cell
**Space-group type**: No. 44